A relaxed TbY2Cu4Si2Ge2 crystal, computed with GGA-PBE.

abc: 7.959 7.959 7.959
angles: 149.81 130.76 58.85
Sites, in units of the cell vectors:
Cu  0.637  0.326  0.310
Cu  0.984  0.674  0.310
Cu  0.016  0.326  0.690
Cu  0.363  0.674  0.690
Ge  0.693  0.500  0.193
Ge  0.307  0.500  0.807
Si  0.217  0.217  0.000
Si  0.783  0.783  0.000
Tb  0.000  0.000  0.000
Y  0.630  0.130  0.500
Y  0.370  0.870  0.500

Output
M_tot = 0.01 μB/f.u.
V = 191 Å³ per cell
symmetry = Immm
energy above the lowest structure with this stoichiometry = 0 meV per atom